<P>
# LiCa3Al (PBE, relaxed)
data_LiCa3Al
_space_group_name_H-M_alt 'P m -3 m'
_space_group_IT_number 221
_space_group_name_Hall '-P 4 2 3'
_cell_length_a 5.935
_cell_length_b 5.935
_cell_length_c 5.935
_cell_angle_alpha 90.00
_cell_angle_beta 90.00
_cell_angle_gamma 90.00
loop_
_atom_site_label
_atom_site_type_symbol
_atom_site_fract_x
_atom_site_fract_y
_atom_site_fract_z
Li1 Li 0.000 0.000 0.000
Ca1 Ca 0.000 0.500 0.500
Al1 Al 0.500 0.500 0.500
# Crystal system ... cubic

=====

<Q>
# LiCa3Al (PBE, relaxed)
data_LiCa3Al
_space_group_name_H-M_alt 'C m c m'
_space_group_IT_number 63
_space_group_name_Hall '-C 2c 2'
_cell_length_a 5.402
_cell_length_b 20.744
_cell_length_c 5.408
_cell_angle_alpha 90.00
_cell_angle_beta 90.00
_cell_angle_gamma 90.00
loop_
_atom_site_label
_atom_site_type_symbol
_atom_site_fract_x
_atom_site_fract_y
_atom_site_fract_z
Li1 Li 0.000 0.161 0.250
Ca1 Ca 0.000 0.071 0.750
Ca2 Ca 0.000 0.251 0.750
Ca3 Ca 0.000 0.431 0.750
Al1 Al 0.000 0.341 0.250
# Crystal system ... orthorhombic

=====

Verdict on stability: <Q> comes out on top.

=====

<P>
# Li2Ca2Al (PBE, relaxed)
data_Li2Ca2Al
_space_group_name_H-M_alt 'C 1 2/c 1'
_space_group_IT_number 15
_cell_length_a 10.351
_cell_length_b 6.307
_cell_length_c 8.333
_cell_angle_alpha 90.00
_cell_angle_beta 106.59
_cell_angle_gamma 90.00
loop_
_space_group_symop_operation_xyz
'x,y,z'
'-x,-y,-z'
'-x,y,-z+1/2'
'x,-y,z+1/2'
'x+1/2,y+1/2,z'
'-x+1/2,-y+1/2,-z'
'-x+1/2,y+1/2,-z+1/2'
'x+1/2,-y+1/2,z+1/2'
loop_
_atom_site_label
_atom_site_type_symbol
_atom_site_fract_x
_atom_site_fract_y
_atom_site_fract_z
Li1 Li 0.111 0.113 0.484
Ca1 Ca 0.156 0.380 0.146
Al1 Al 0.000 0.204 0.750
# Crystal system ... monoclinic

=====

<Q>
# Li2Ca2Al (PBE, relaxed)
data_Li2Ca2Al
_space_group_name_H-M_alt 'I 4/m m m'
_space_group_IT_number 139
_space_group_name_Hall '-I 4 2'
_cell_length_a 3.742
_cell_length_b 3.742
_cell_length_c 19.501
_cell_angle_alpha 90.00
_cell_angle_beta 90.00
_cell_angle_gamma 90.00
loop_
_atom_site_label
_atom_site_type_symbol
_atom_site_fract_x
_atom_site_fract_y
_atom_site_fract_z
Li1 Li 0.000 0.500 0.250
Ca1 Ca 0.000 0.000 0.097
Al1 Al 0.000 0.000 0.500
# Crystal system ... tetragonal

=====

Verdict on stability: <P> comes out on top.

=====

<P>
# Li2Ca2Al (PBE, relaxed)
data_Li2Ca2Al
_space_group_name_H-M_alt 'P 4/m b m'
_space_group_IT_number 127
_space_group_name_Hall '-P 4 2ab'
_cell_length_a 8.447
_cell_length_b 8.447
_cell_length_c 4.150
_cell_angle_alpha 90.00
_cell_angle_beta 90.00
_cell_angle_gamma 90.00
loop_
_atom_site_label
_atom_site_type_symbol
_atom_site_fract_x
_atom_site_fract_y
_atom_site_fract_z
Li1 Li 0.143 0.357 0.000
Ca1 Ca 0.156 0.656 0.500
Al1 Al 0.000 0.000 0.500
# Crystal system ... tetragonal

=====

<Q>
# Li2Ca2Al (PBE, relaxed)
data_Li2Ca2Al
_space_group_name_H-M_alt 'P 4/m b m'
_space_group_IT_number 127
_space_group_name_Hall '-P 4 2ab'
_cell_length_a 7.391
_cell_length_b 7.391
_cell_length_c 4.763
_cell_angle_alpha 90.00
_cell_angle_beta 90.00
_cell_angle_gamma 90.00
loop_
_atom_site_label
_atom_site_type_symbol
_atom_site_fract_x
_atom_site_fract_y
_atom_site_fract_z
Li1 Li 0.130 0.370 0.000
Ca1 Ca 0.190 0.690 0.500
Al1 Al 0.000 0.000 0.000
# Crystal system ... tetragonal

=====

<R>
# Li2Ca2Al (PBE, relaxed)
data_Li2Ca2Al
_space_group_name_H-M_alt 'I 4/m m m'
_space_group_IT_number 139
_space_group_name_Hall '-I 4 2'
_cell_length_a 5.784
_cell_length_b 5.784
_cell_length_c 7.775
_cell_angle_alpha 90.00
_cell_angle_beta 90.00
_cell_angle_gamma 90.00
loop_
_atom_site_label
_atom_site_type_symbol
_atom_site_fract_x
_atom_site_fract_y
_atom_site_fract_z
Li1 Li 0.000 0.000 0.151
Ca1 Ca 0.000 0.500 0.250
Al1 Al 0.000 0.000 0.500
# Crystal system ... tetragonal

=====

Verdict on stability: <Q> comes out on top.